! GGA+U Sr2Cu2NiO6, relaxed; values from VASP
&SYSTEM
  ibrav = 0, nat = 11, ntyp = 4
/
ATOMIC_SPECIES
Sr 87.62 Sr.upf
Cu 63.55 Cu.upf
Ni 58.69 Ni.upf
O 16.00 O.upf
CELL_PARAMETERS angstrom
2.8638 1.6534 5.2610
-2.8638 1.6534 5.2610
0.0000 -3.3069 5.2610
ATOMIC_POSITIONS angstrom
Sr 0.0000 0.0000 3.3984
Sr 0.0000 0.0000 12.3847
Cu 0.0000 0.0000 6.5425
Cu 0.0000 0.0000 9.2406
Ni 0.0000 0.0000 0.0000
O -1.5601 -0.9007 9.1960
O 0.0000 -1.8014 6.5871
O -1.5601 0.9007 6.5871
O 1.5601 -0.9007 9.1960
O 0.0000 1.8014 9.1960
O 1.5601 0.9007 6.5871
! - Calculated total energy: -5.27 eV/atom
! - DOS(E_F): 9.066 states/eV/cell
! - Space-group type: R-3m (166)